First-principles (GGA-PBE) data for an optimized crystal structure of BaNaSrPb, as listed in the Alexandria database.

Results
symmetry: No. 216
energy of formation: -0.365 eV per atom

Cell: 6.041 6.041 6.041 Å, 60.00 60.00 60.00°
Positions (direct):
Pb1 0.750 0.750 0.750
Sr1 0.500 0.500 0.500
Ba1 0.000 0.000 0.000
Na1 0.250 0.250 0.250

First-principles (GGA-PBE) data for an optimized crystal structure of BaSn2Ge2, as listed in the Alexandria database.

Results
E above lowest polymorph: 0.0000 eV per atom
symmetry: No. 139
energy of formation: -0.289 eV per atom

Cell: 5.058 5.058 6.740 Å, 67.96 67.96 90.00°
Positions (direct):
Ge1 0.378 0.378 0.243
Ge2 0.622 0.622 0.757
Ba1 0.000 0.000 0.000
Sn1 0.750 0.250 0.500
Sn2 0.250 0.750 0.500

First-principles (GGA-PBE) data for an optimized crystal structure of SmPaHgBi, as listed in the Alexandria database.

Results
symmetry: No. 216
energy of formation: -0.158 eV per atom

Cell: 5.413 5.413 5.413 Å, 60.00 60.00 60.00°
Positions (direct):
Pa1 0.000 0.000 0.000
Bi1 0.250 0.250 0.250
Sm1 0.500 0.500 0.500
Hg1 0.750 0.750 0.750

First-principles (GGA-PBE) data for an optimized crystal structure of MnIn, as listed in the Alexandria database.

Results
symmetry: No. 59
energy of formation: 0.296 eV per atom

Cell: 3.182 3.960 5.965 Å, 90.00 90.00 90.00°
Positions (direct):
In1 0.000 0.000 0.031
In2 0.500 0.500 0.719
Mn1 0.000 0.000 0.488
Mn2 0.500 0.500 0.262

First-principles (GGA-PBE) data for an optimized crystal structure of CsHgAs, as listed in the Alexandria database.

Results
symmetry: No. 107
energy of formation: 0.216 eV per atom

Cell: 5.082 5.082 5.961 Å, 115.23 115.23 90.00°
Positions (direct):
Cs1 0.945 0.945 0.889
As1 0.590 0.590 0.180
Hg1 0.315 0.315 0.630

First-principles (GGA-PBE) data for an optimized crystal structure of LiHfB, as listed in the Alexandria database.

Results
E above lowest polymorph: 0.8807 eV per atom
symmetry: No. 187
energy of formation: 0.525 eV per atom

Cell: 4.108 4.108 3.114 Å, 90.00 90.00 120.00°
Positions (direct):
B1 0.000 0.000 0.000
Hf1 0.333 0.667 0.000
Li1 0.667 0.333 0.500

First-principles (GGA-PBE) data for an optimized crystal structure of Li2CuB2Pd5, as listed in the Alexandria database.

Results
symmetry: No. 127
energy of formation: -0.358 eV per atom

Cell: 2.948 9.417 9.417 Å, 90.00 90.00 90.00°
Positions (direct):
Li1 0.000 0.675 0.175
Li2 0.000 0.325 0.825
Li3 0.000 0.175 0.325
Li4 0.000 0.825 0.675
Cu1 0.000 0.000 0.000
Cu2 0.000 0.500 0.500
B1 0.000 0.129 0.629
B2 0.000 0.871 0.371
B3 0.000 0.629 0.871
B4 0.000 0.371 0.129
Pd1 0.500 0.215 0.073
Pd2 0.500 0.785 0.927
Pd3 0.500 0.073 0.785
Pd4 0.500 0.715 0.427
Pd5 0.500 0.927 0.215
Pd6 0.500 0.285 0.573
Pd7 0.500 0.573 0.715
Pd8 0.500 0.427 0.285
Pd9 0.500 0.500 0.000
Pd10 0.500 0.000 0.500

First-principles (GGA-PBE) data for an optimized crystal structure of Th4SiSb2Pb, as listed in the Alexandria database.

Results
uncorrected formation energy: -0.681 eV per atom
symmetry: No. 10

Cell: 4.448 7.733 7.784 Å, 70.75 90.00 90.00°
Positions (direct):
Th1 0.000 0.741 0.739
Th2 0.000 0.259 0.261
Th3 0.500 0.732 0.269
Th4 0.500 0.268 0.731
Si1 0.000 0.500 0.500
Sb1 0.000 0.000 0.000
Sb2 0.500 0.000 0.500
Pb1 0.500 0.500 0.000